DFT (PBE) results for an optimized crystal structure of InTeW.

extended XYZ file:
```
3
Lattice="-1.409 6.292 -2.769 -4.984 4.931 -0.285 4.090 -4.602 3.367" Properties=species:S:1:pos:R:3 pbc="T T T"
In -0.175 0.306 -0.083
Te -1.891 3.320 -0.904
W -4.327 7.596 -2.067
```

=====

DFT (PBE) results for an optimized crystal structure of In4TeW.

extended XYZ file:
```
6
Lattice="0.000 4.152 4.152 4.152 0.000 4.152 4.152 4.152 0.000" Properties=species:S:1:pos:R:3 pbc="T T T"
In 3.110 5.194 5.194
W 0.000 0.000 0.000
In 5.194 3.110 5.194
Te 6.229 6.229 6.229
In 3.110 3.110 3.110
In 5.194 5.194 3.110
```

=====

| no. | formation energy (no corrections) (eV per atom) | calculated density (g cm⁻³) |
| --- | --- | --- |
| 1 | 0.48 | 10.25 |
| 2 | 0.88 | 8.94 |